Density functional theory data (GGA-PBE) for an optimized crystal structure of MgTaPdRh.

It has space group F-43m (No. 216), with a = 6.357 Å, b = 6.357 Å, c = 6.357 Å, α = 90.00°, β = 90.00° and γ = 90.00°. The asymmetric unit holds Mg at (0.000, 0.000, 0.000), Ta at (0.000, 0.000, 0.500), Pd at (0.250, 0.250, 0.750) and Rh at (0.250, 0.250, 0.250).

The calculation puts the density of states at the Fermi level at 16.71 states/eV/cell. The calculated volume is 64.2 Å³/f.u. Its spin magnetization is 0.00 μB per formula unit. The energy of formation comes out at -0.4380 eV per atom.

Density functional theory data (GGA-PBE) for an optimized crystal structure of DyLuPdPt.

It has space group F-43m (No. 216), with a = 6.931 Å, b = 6.931 Å, c = 6.931 Å, α = 90.00°, β = 90.00° and γ = 90.00°. The asymmetric unit holds Dy at (0.000, 0.000, 0.000), Lu at (0.000, 0.000, 0.500), Pd at (0.250, 0.250, 0.250) and Pt at (0.250, 0.250, 0.750).

The calculation puts the density of states at the Fermi level at 11.68 states/eV/cell. The calculated volume is 83.2 Å³/f.u. Its spin magnetization is 0.00 μB per formula unit. The energy of formation comes out at -1.1115 eV per atom.

Density functional theory data (GGA-PBE) for an optimized crystal structure of LiBe3.

It has space group C2/m (No. 12), with a = 10.173 Å, b = 2.229 Å, c = 7.433 Å, α = 90.00°, β = 111.05° and γ = 90.00°. The asymmetric unit holds Li at (0.115, 0.000, 0.180), Be at (0.029, 0.500, 0.650), Be at (0.166, 0.000, 0.533) and Be at (0.172, 0.000, 0.884).

The calculation puts the density of states at the Fermi level at 1.43 states/eV/cell. The calculated volume is 39.3 Å³/f.u. Its energy above the lowest structure with this stoichiometry is 52 meV/atom. Its spin magnetization is 0.00 μB per formula unit. The energy of formation comes out at 0.0810 eV per atom.

Question: spin magnetization of number 2 (DyLuPdPt)?
Answer: 0.00 μB per formula unit